No. 1
Here is an optimized crystal structure of Mg3Zn4Ag4 from Alexandria. Energies are from GGA-PBE.

Computed properties:
ρ in g/cm3: 5.50
Size of the total moment in μB/atom: 0.0000
Electronic total energy in eV per atom: -1.828
Offset from the most stable computed form in eV per atom: 0.2307

Cell: 6.6990 6.6990 6.6990 Å, 109.47 109.47 109.47°
Positions (direct):
Mg: 0.5000 0.5000 0.0000
Mg: 0.5000 0.0000 0.5000
Mg: 0.0000 0.5000 0.5000
Zn: 0.7603 0.7603 0.7603
Zn: 0.2397 0.0000 0.0000
Zn: 0.0000 0.0000 0.2397
Zn: 0.0000 0.2397 0.0000
Ag: 0.3986 0.3986 0.3986
Ag: 0.6014 0.0000 0.0000
Ag: 0.0000 0.6014 0.0000
Ag: 0.0000 0.0000 0.6014

***

No. 2
Here is an optimized crystal structure of Mg3Zn4Ag4 from Alexandria. Energies are from GGA-PBE.

Computed properties:
ρ in g/cm3: 6.76
Size of the total moment in μB/atom: 0.0000
Electronic total energy in eV per atom: -2.059
Offset from the most stable computed form in eV per atom: 0.0000

Cell: 3.1879 3.5072 17.0053 Å, 95.99 95.38 89.96°
Positions (direct):
Ag: 0.5476 0.5488 0.0971
Ag: 0.1835 0.1854 0.3701
Ag: 0.4524 0.4512 0.9029
Ag: 0.8165 0.8147 0.6299
Zn: 0.9099 0.9091 0.8189
Zn: 0.7294 0.7298 0.4585
Zn: 0.2705 0.2702 0.5415
Zn: 0.0901 0.0909 0.1811
Mg: 0.6357 0.6370 0.2743
Mg: 0.0000 0.0000 0.0000
Mg: 0.3642 0.3631 0.7257

***

No. 3
Here is an optimized crystal structure of Mg3ZnAg from Alexandria. Energies are from GGA-PBE.

Computed properties:
ρ in g/cm3: 3.35
Size of the total moment in μB/atom: 0.0000
Electronic total energy in eV per atom: -1.517
Offset from the most stable computed form in eV per atom: 0.3852

Cell: 4.9622 4.9622 4.9622 Å, 90.00 90.00 90.00°
Positions (direct):
Mg: 0.0000 0.0000 0.5000
Mg: 0.0000 0.5000 0.0000
Mg: 0.5000 0.0000 0.0000
Zn: 0.0000 0.0000 0.0000
Ag: 0.5000 0.5000 0.5000

***

No. 4
Here is an optimized crystal structure of MgZn2Ag from Alexandria. Energies are from GGA-PBE.

Computed properties:
ρ in g/cm3: 6.19
Size of the total moment in μB/atom: 0.0000
Electronic total energy in eV per atom: -1.767

Cell: 2.8974 7.1321 6.9848 Å, 89.99 78.03 89.96°
Positions (direct):
Mg: 0.0425 0.7500 0.9149
Mg: 0.9575 0.2500 0.0851
Ag: 0.7299 0.7500 0.5403
Ag: 0.2701 0.2500 0.4597
Zn: 0.6194 0.4318 0.7611
Zn: 0.3805 0.9318 0.2389
Zn: 0.6195 0.0682 0.7611
Zn: 0.3806 0.5682 0.2389

***

No. 5
Here is an optimized crystal structure of MgZn3Ag from Alexandria. Energies are from GGA-PBE.

Computed properties:
ρ in g/cm3: 6.41
Size of the total moment in μB/atom: 0.0000
Electronic total energy in eV per atom: -1.719
Offset from the most stable computed form in eV per atom: 0.0000

Cell: 5.1347 5.1389 6.4769 Å, 90.00 95.19 90.00°
Positions (direct):
Zn: 0.1346 0.4950 0.1879
Zn: 0.8654 0.5050 0.8121
Zn: 0.1346 0.0050 0.1879
Zn: 0.8740 0.2500 0.4641
Zn: 0.8654 0.9950 0.8121
Zn: 0.1260 0.7500 0.5359
Ag: 0.5962 0.2500 0.0992
Ag: 0.4038 0.7500 0.9008
Mg: 0.3821 0.2500 0.6563
Mg: 0.6179 0.7500 0.3437

***

No. 6
Here is an optimized crystal structure of MgZn2Ag4 from Alexandria. Energies are from GGA-PBE.

Computed properties:
ρ in g/cm3: 7.59
Size of the total moment in μB/atom: 0.0000
Electronic total energy in eV per atom: -2.237
Offset from the most stable computed form in eV per atom: 0.0270

Cell: 5.5273 5.5273 5.5273 Å, 116.76 105.96 105.96°
Positions (direct):
Ag: 0.5000 0.5000 0.5000
Ag: 0.0000 0.0000 0.5000
Ag: 0.0000 0.5000 0.0000
Ag: 0.5000 0.0000 0.0000
Zn: 0.5000 0.5000 0.0000
Zn: 0.5000 0.0000 0.5000
Mg: 0.0000 0.0000 0.0000

***

No. 7
Here is an optimized crystal structure of Mg2ZnAg2 from Alexandria. Energies are from GGA-PBE.

Computed properties:
ρ in g/cm3: 5.73
Size of the total moment in μB/atom: 0.0000
Electronic total energy in eV per atom: -2.141
Offset from the most stable computed form in eV per atom: 0.0235

Cell: 7.1822 7.1822 3.7075 Å, 90.00 90.00 90.00°
Positions (direct):
Mg: 0.3406 0.1594 0.5000
Mg: 0.8406 0.3406 0.5000
Mg: 0.1594 0.6594 0.5000
Mg: 0.6594 0.8406 0.5000
Ag: 0.1423 0.3577 0.0000
Ag: 0.8577 0.6423 0.0000
Ag: 0.3577 0.8577 0.0000
Ag: 0.6423 0.1423 0.0000
Zn: 0.0000 0.0000 0.0000
Zn: 0.5000 0.5000 0.0000

***

No. 8
Here is an optimized crystal structure of Mg4ZnAg from Alexandria. Energies are from GGA-PBE.

Computed properties:
ρ in g/cm3: 3.67
Size of the total moment in μB/atom: 0.0000
Electronic total energy in eV per atom: -1.866
Offset from the most stable computed form in eV per atom: 0.0000

Cell: 5.4622 5.4622 5.4622 Å, 104.49 104.49 119.97°
Positions (direct):
Mg: 0.5861 0.0861 0.1721
Mg: 0.9139 0.4139 0.8279
Mg: 0.4139 0.5861 0.5000
Mg: 0.0861 0.9139 0.5000
Zn: 0.5000 0.5000 0.0000
Ag: 0.0000 0.0000 0.0000

***

No. 9
Here is an optimized crystal structure of MgZn3Ag from Alexandria. Energies are from GGA-PBE.

Computed properties:
ρ in g/cm3: 6.47
Size of the total moment in μB/atom: 0.0000
Electronic total energy in eV per atom: -1.693
Offset from the most stable computed form in eV per atom: 0.0264

Cell: 5.7986 7.0869 8.6912 Å, 109.33 90.00 90.00°
Positions (direct):
Zn: 0.7451 0.4993 0.0003
Zn: 0.2601 0.1187 0.4087
Zn: 0.2399 0.1187 0.9087
Zn: 0.7399 0.8813 0.5913
Zn: 0.7549 0.4993 0.5003
Zn: 0.2451 0.5007 0.4997
Zn: 0.7601 0.8813 0.0913
Zn: 0.4945 0.2726 0.7016
Zn: 0.2549 0.5007 0.9997
Zn: 0.5055 0.7274 0.2984
Zn: 0.0055 0.2726 0.2016
Zn: 0.9945 0.7274 0.7984
Mg: 0.4952 0.7040 0.7996
Mg: 0.0048 0.7040 0.2996
Mg: 0.9952 0.2960 0.7004
Mg: 0.5048 0.2960 0.2004
Ag: 0.2540 0.8991 0.0991
Ag: 0.7540 0.1009 0.4009
Ag: 0.2460 0.8991 0.5991
Ag: 0.7460 0.1009 0.9009

***

No. 10
Here is an optimized crystal structure of MgZn2Ag7 from Alexandria. Energies are from GGA-PBE.

Computed properties:
ρ in g/cm3: 6.75
Size of the total moment in μB/atom: 0.0000
Electronic total energy in eV per atom: -2.221

Cell: 4.6103 7.4726 7.4726 Å, 119.63 90.00 90.00°
Positions (direct):
Zn: 0.5000 0.2992 0.7008
Zn: 0.5000 0.7008 0.2992
Ag: 0.0000 0.7909 0.2090
Ag: 0.5000 0.0695 0.2969
Ag: 0.0000 0.2091 0.7910
Ag: 0.5000 0.9305 0.7031
Ag: 0.5000 0.7031 0.9305
Ag: 0.5000 0.2969 0.0695
Ag: 0.5000 0.5000 0.5000
Mg: 0.0000 0.0000 0.0000

***

No. 11
Here is an optimized crystal structure of MgZn6Ag2 from Alexandria. Energies are from GGA-PBE.

Computed properties:
ρ in g/cm3: 7.02
Size of the total moment in μB/atom: 0.0000
Electronic total energy in eV per atom: -1.685
Offset from the most stable computed form in eV per atom: 0.0000

Cell: 2.9914 7.8568 7.8568 Å, 56.12 79.03 79.03°
Positions (direct):
Zn: 0.3267 0.9964 0.3502
Zn: 0.3267 0.3502 0.9964
Zn: 0.5000 0.3249 0.6751
Zn: 0.6733 0.0036 0.6498
Zn: 0.6733 0.6498 0.0036
Zn: 0.5000 0.6751 0.3249
Ag: 0.8516 0.6484 0.6484
Ag: 0.1484 0.3516 0.3516
Mg: 0.0000 0.0000 0.0000

***

No. 12
Here is an optimized crystal structure of Mg2ZnAg from Alexandria. Energies are from GGA-PBE.

Computed properties:
ρ in g/cm3: 4.92
Size of the total moment in μB/atom: 0.0000
Electronic total energy in eV per atom: -1.973

Cell: 4.4845 3.0915 5.6284 Å, 73.71 90.00 90.00°
Positions (direct):
Zn: 0.0000 0.6958 0.4823
Mg: 0.5000 0.2912 0.2981
Mg: 0.0000 0.9588 0.9542
Ag: 0.5000 0.5542 0.7655